(1)
The following is a DFT calculation (PBE) of Zr2Be2Al after structural relaxation.

Lattice parameters (Å, degrees): 3.688 5.187 8.269 90.00 90.00 90.00
Fractional positions:
Zr (0.000, 0.000, 0.211)
Zr (0.000, 0.000, 0.789)
Zr (0.500, 0.500, 0.289)
Zr (0.500, 0.500, 0.711)
Be (0.000, 0.296, 0.500)
Be (0.000, 0.704, 0.500)
Be (0.500, 0.204, 0.000)
Be (0.500, 0.796, 0.000)
Al (0.000, 0.500, 0.000)
Al (0.500, 0.000, 0.500)

Properties
calculated formation energy: -28.5 kJ per mole of atoms
spin magnetization: 0.00 μB per formula unit
symmetry: Immm, No. 71
energy above the most stable polymorph in this dataset: 41.5 meV/atom

---

(2)
The following is a DFT calculation (PBE) of ZrBe2Al after structural relaxation.

Lattice parameters (Å, degrees): 3.632 3.579 4.736 90.00 112.37 90.00
Fractional positions:
Zr (0.000, 0.000, 0.000)
Be (0.581, 0.500, 0.164)
Be (0.707, 0.000, 0.417)
Al (0.281, 0.500, 0.566)

Properties
calculated formation energy: -10.3 kJ per mole of atoms
spin magnetization: 0.00 μB per formula unit
symmetry: Pm, No. 6

---

Number 2 is which compound?
ZrBe2Al